A relaxed structure of Li4CaC2, computed with PBE-GGA.

Summary:
- crystal system = monoclinic
- energy of formation from the pure elements (meV per atom) = 100
- raw total energy (eV per atom) = -3.92
- volume (Å³/atom) = 14.75

Structure (extended XYZ):
```
7
Lattice="3.741 0.000 0.000 0.000 3.727 0.000 -1.500 0.000 7.405" Properties=species:S:1:pos:R:3 pbc="T T T"
Li 0.295 0.000 2.557
Li -0.132 1.863 5.008
Li 2.372 1.863 2.397
Li 1.945 0.000 4.847
Ca 1.870 0.000 0.000
C -0.082 1.863 0.661
C 2.323 1.863 6.743
```

A relaxed structure of Li2CaC, computed with PBE-GGA.

Summary:
- crystal system = tetragonal
- energy of formation from the pure elements (meV per atom) = 596
- raw total energy (eV per atom) = -3.17
- volume (Å³/atom) = 16.38

Structure (extended XYZ):
```
8
Lattice="-2.181 2.181 6.884 2.181 -2.181 6.884 2.181 2.181 -6.884" Properties=species:S:1:pos:R:3 pbc="T T T"
Li 0.000 0.000 0.000
Li 1.091 1.091 -3.442
Li 1.091 -1.091 3.442
Li 0.000 2.181 0.000
Ca 2.181 1.091 1.721
Ca 0.000 1.091 5.163
C 2.181 -1.091 5.163
C 0.000 3.272 1.721
```

A relaxed structure of LiCa2C, computed with PBE-GGA.

Summary:
- crystal system = triclinic
- energy of formation from the pure elements (meV per atom) = 23
- raw total energy (eV per atom) = -3.76
- volume (Å³/atom) = 27.22

Structure (extended XYZ):
```
8
Lattice="3.780 0.000 0.000 -1.883 6.917 0.000 -1.880 -1.726 8.329" Properties=species:S:1:pos:R:3 pbc="T T T"
Li -0.943 2.592 1.404
Li 0.960 2.599 6.925
Ca -0.934 -0.343 7.199
Ca -0.933 4.350 4.514
Ca 0.950 0.841 3.815
Ca 0.951 5.534 1.130
C -0.939 -0.760 4.812
C 0.956 5.951 3.517
```

A relaxed structure of LiCaMnC, computed with PBE-GGA.

Summary:
- crystal system = tetragonal
- energy of formation from the pure elements (meV per atom) = -4
- raw total energy (eV per atom) = -5.58
- volume (Å³/atom) = 17.28

Structure (extended XYZ):
```
8
Lattice="3.588 0.000 0.000 0.000 3.588 0.000 0.000 0.000 10.737" Properties=species:S:1:pos:R:3 pbc="T T T"
Li 0.897 2.691 0.000
Li 2.691 0.897 0.000
Ca 0.897 0.897 2.958
Ca 2.691 2.691 7.778
Mn 0.897 2.691 5.368
Mn 2.691 0.897 5.368
C 0.897 0.897 6.130
C 2.691 2.691 4.607
```

A relaxed structure of LiCaMn2C, computed with PBE-GGA.

Summary:
- crystal system = tetragonal
- energy of formation from the pure elements (meV per atom) = 2006
- raw total energy (eV per atom) = -4.29
- volume (Å³/atom) = 25.88

Structure (extended XYZ):
```
5
Lattice="5.444 0.000 0.000 0.000 5.444 0.000 0.000 0.000 4.366" Properties=species:S:1:pos:R:3 pbc="T T T"
Li 0.000 0.000 0.000
Ca 2.722 2.722 2.183
Mn 0.000 2.722 2.183
Mn 2.722 0.000 2.183
C 2.722 2.722 0.000
```

A relaxed structure of LiCa2MnC, computed with PBE-GGA.

Summary:
- crystal system = tetragonal
- energy of formation from the pure elements (meV per atom) = 123
- raw total energy (eV per atom) = -4.74
- volume (Å³/atom) = 21.19

Structure (extended XYZ):
```
5
Lattice="5.251 0.000 0.000 0.000 5.251 0.000 0.000 0.000 3.843" Properties=species:S:1:pos:R:3 pbc="T T T"
Li 0.000 0.000 0.000
Ca 0.000 2.625 1.922
Ca 2.625 0.000 1.922
Mn 2.625 2.625 0.000
C 2.625 2.625 1.922
```

A relaxed structure of LiCaCN2, computed with PBE-GGA.

Summary:
- crystal system = monoclinic
- raw total energy (eV per atom) = -6.37
- volume (Å³/atom) = 11.24

Structure (extended XYZ):
```
10
Lattice="5.252 0.000 0.000 0.000 3.677 0.000 -1.572 0.000 5.823" Properties=species:S:1:pos:R:3 pbc="T T T"
Li -0.393 0.074 1.456
Li -1.179 3.603 4.367
Ca 1.446 0.825 4.367
Ca 2.233 2.852 1.456
C 0.000 1.838 0.000
C -0.786 1.838 2.912
N 1.000 1.063 0.218
N 0.214 2.613 3.130
N 3.466 1.063 2.694
N 2.679 2.613 5.605
```

A relaxed structure of Li2CaNbC, computed with PBE-GGA.

Summary:
- crystal system = tetragonal
- energy of formation from the pure elements (meV per atom) = 1082
- raw total energy (eV per atom) = -3.94
- volume (Å³/atom) = 18.50

Structure (extended XYZ):
```
5
Lattice="4.351 0.000 0.000 0.000 4.351 0.000 0.000 0.000 4.887" Properties=species:S:1:pos:R:3 pbc="T T T"
Li 0.000 2.175 0.000
Li 2.175 0.000 0.000
Ca 0.000 0.000 2.444
Nb 2.175 2.175 2.444
C 0.000 0.000 0.000
```

A relaxed structure of LiCa2NiC, computed with PBE-GGA.

Summary:
- crystal system = tetragonal
- energy of formation from the pure elements (meV per atom) = -6
- raw total energy (eV per atom) = -4.19
- volume (Å³/atom) = 19.76

Structure (extended XYZ):
```
5
Lattice="5.190 0.000 0.000 0.000 5.190 0.000 0.000 0.000 3.669" Properties=species:S:1:pos:R:3 pbc="T T T"
Li 0.000 0.000 0.000
Ca 0.000 2.595 1.834
Ca 2.595 0.000 1.834
Ni 2.595 2.595 0.000
C 2.595 2.595 1.834
```

A relaxed structure of Li2CaNiC, computed with PBE-GGA.

Summary:
- crystal system = tetragonal
- energy of formation from the pure elements (meV per atom) = 115
- raw total energy (eV per atom) = -4.05
- volume (Å³/atom) = 13.91

Structure (extended XYZ):
```
5
Lattice="4.282 0.000 0.000 0.000 4.282 0.000 0.000 0.000 3.793" Properties=species:S:1:pos:R:3 pbc="T T T"
Li 0.000 2.141 0.000
Li 2.141 0.000 0.000
Ca 0.000 0.000 1.896
Ni 2.141 2.141 1.896
C 2.141 2.141 0.000
```

A relaxed structure of LiCaC2O6, computed with PBE-GGA.

Summary:
- crystal system = trigonal
- raw total energy (eV per atom) = -7.03
- volume (Å³/atom) = 11.54

Structure (extended XYZ):
```
10
Lattice="2.455 1.418 5.526 -2.455 1.418 5.526 0.000 -2.835 5.526" Properties=species:S:1:pos:R:3 pbc="T T T"
Li 0.000 0.000 0.000
Ca 0.000 0.000 8.290
C 0.000 0.000 4.216
C 0.000 0.000 12.363
O -0.567 -1.159 4.204
O -0.720 1.070 4.204
O -1.287 -0.088 12.375
O 1.287 0.088 4.204
O 0.720 -1.070 12.375
O 0.567 1.159 12.375
```

A relaxed structure of LiCa2OsC, computed with PBE-GGA.

Summary:
- crystal system = tetragonal
- energy of formation from the pure elements (meV per atom) = 32
- raw total energy (eV per atom) = -5.24
- volume (Å³/atom) = 20.72

Structure (extended XYZ):
```
5
Lattice="5.142 0.000 0.000 0.000 5.142 0.000 0.000 0.000 3.917" Properties=species:S:1:pos:R:3 pbc="T T T"
Li 0.000 0.000 0.000
Ca 0.000 2.571 1.959
Ca 2.571 0.000 1.959
Os 2.571 2.571 0.000
C 2.571 2.571 1.959
```

A relaxed structure of Li2CaRhC, computed with PBE-GGA.

Summary:
- crystal system = tetragonal
- energy of formation from the pure elements (meV per atom) = -35
- raw total energy (eV per atom) = -4.52
- volume (Å³/atom) = 14.91

Structure (extended XYZ):
```
5
Lattice="4.301 0.000 0.000 0.000 4.301 0.000 0.000 0.000 4.031" Properties=species:S:1:pos:R:3 pbc="T T T"
Li 0.000 2.151 0.000
Li 2.151 0.000 0.000
Ca 0.000 0.000 2.015
Rh 2.151 2.151 2.015
C 2.151 2.151 0.000
```

A relaxed structure of LiCa2RhC, computed with PBE-GGA.

Summary:
- crystal system = tetragonal
- energy of formation from the pure elements (meV per atom) = -126
- raw total energy (eV per atom) = -4.62
- volume (Å³/atom) = 20.87

Structure (extended XYZ):
```
5
Lattice="5.167 0.000 0.000 0.000 5.167 0.000 0.000 0.000 3.907" Properties=species:S:1:pos:R:3 pbc="T T T"
Li 0.000 0.000 0.000
Ca 0.000 2.584 1.954
Ca 2.584 0.000 1.954
Rh 2.584 2.584 0.000
C 2.584 2.584 1.954
```

A relaxed structure of LiCa2RuC, computed with PBE-GGA.

Summary:
- crystal system = tetragonal
- energy of formation from the pure elements (meV per atom) = 13
- raw total energy (eV per atom) = -4.87
- volume (Å³/atom) = 20.77

Structure (extended XYZ):
```
5
Lattice="5.149 0.000 0.000 0.000 5.149 0.000 0.000 0.000 3.918" Properties=species:S:1:pos:R:3 pbc="T T T"
Li 0.000 0.000 0.000
Ca 0.000 2.575 1.959
Ca 2.575 0.000 1.959
Ru 2.575 2.575 0.000
C 2.575 2.575 1.959
```

A relaxed structure of LiCaRu2C, computed with PBE-GGA.

Summary:
- crystal system = tetragonal
- energy of formation from the pure elements (meV per atom) = 36
- raw total energy (eV per atom) = -6.30
- volume (Å³/atom) = 14.72

Structure (extended XYZ):
```
5
Lattice="4.073 0.000 0.000 0.000 4.073 0.000 0.000 0.000 4.437" Properties=species:S:1:pos:R:3 pbc="T T T"
Li 0.000 0.000 0.000
Ca 2.036 2.036 0.000
Ru 0.000 2.036 2.219
Ru 2.036 0.000 2.219
C 0.000 0.000 2.219
```

A relaxed structure of Li2CaSiC, computed with PBE-GGA.

Summary:
- crystal system = tetragonal
- raw total energy (eV per atom) = -1.94
- volume (Å³/atom) = 37.29

Structure (extended XYZ):
```
5
Lattice="5.896 0.000 0.000 0.000 5.896 0.000 0.000 0.000 5.364" Properties=species:S:1:pos:R:3 pbc="T T T"
Li 0.000 2.948 0.000
Li 2.948 0.000 0.000
Ca 0.000 0.000 0.000
Si 0.000 0.000 2.682
C 2.948 2.948 2.682
```

A relaxed structure of SrLi2CaC, computed with PBE-GGA.

Summary:
- crystal system = tetragonal
- energy of formation from the pure elements (meV per atom) = 595
- raw total energy (eV per atom) = -2.75
- volume (Å³/atom) = 24.54

Structure (extended XYZ):
```
5
Lattice="4.872 0.000 0.000 0.000 4.872 0.000 0.000 0.000 5.171" Properties=species:S:1:pos:R:3 pbc="T T T"
Sr 0.000 0.000 0.000
Li 0.000 2.436 2.585
Li 2.436 0.000 2.585
Ca 2.436 2.436 0.000
C 0.000 0.000 2.585
```

A relaxed structure of Li2CaTaC, computed with PBE-GGA.

Summary:
- crystal system = tetragonal
- energy of formation from the pure elements (meV per atom) = 1803
- raw total energy (eV per atom) = -3.58
- volume (Å³/atom) = 14.79

Structure (extended XYZ):
```
5
Lattice="4.081 0.000 0.000 0.000 4.081 0.000 0.000 0.000 4.440" Properties=species:S:1:pos:R:3 pbc="T T T"
Li 0.000 2.040 0.000
Li 2.040 0.000 0.000
Ca 0.000 0.000 0.000
Ta 2.040 2.040 2.220
C 0.000 0.000 2.220
```

A relaxed structure of LiCa2TcC, computed with PBE-GGA.

Summary:
- crystal system = tetragonal
- energy of formation from the pure elements (meV per atom) = 191
- raw total energy (eV per atom) = -4.91
- volume (Å³/atom) = 21.24

Structure (extended XYZ):
```
5
Lattice="5.165 0.000 0.000 0.000 5.165 0.000 0.000 0.000 3.982" Properties=species:S:1:pos:R:3 pbc="T T T"
Li 0.000 0.000 0.000
Ca 0.000 2.582 1.991
Ca 2.582 0.000 1.991
Tc 2.582 2.582 0.000
C 2.582 2.582 1.991
```